Density functional theory data (GGA-PBE) for a relaxed structure of ZrCr2Br.

a b c (Å): 3.788 3.788 7.338
angles (deg): 97.98 97.98 49.48
Each line ends with the local moment (μB).
Atoms (fractional coordinates):
Br  0.124  0.124  0.267  -0.01
Cr  0.080  0.080  0.911  1.86
Cr  0.804  0.804  0.777  -1.22
Zr  0.492  0.492  0.544  0.16

Properties
Density of states at the Fermi level: 0.53 states/eV per atom
E_form (uncorrected): 184 meV per atom
Space-group type: Cm, No. 8